# 1
{
  "formula": "ScAuCl2",
  "functional": "GGA-PBE",
  "state": "optimized geometry",
  "lattice": [[-6.849, 0.146, 8.074], [-8.990, -0.306, 5.586], [-7.450, -2.909, 6.940]],
  "species": ["Au", "Sc", "Cl", "Cl"],
  "fractional_positions": [[0.750, 0.750, 0.750], [0.250, 0.250, 0.250], [0.970, 0.970, 0.970], [0.530, 0.530, 0.530]],
  "sg": "R-3m",
  "dos_ef_per_ev_atom": 0.524,
  "formation_energy_uncorrected_ev_per_atom": -1.072,
  "de_polymorph_mev_per_atom": 251,
  "dft_energy_ev_per_atom": -4.40
}

# 2
{
  "formula": "ScAuCl2",
  "functional": "GGA-PBE",
  "state": "optimized geometry",
  "lattice": [[3.560, 0.000, 0.000], [0.000, 5.410, -0.195], [0.000, 2.538, 4.380]],
  "species": ["Sc", "Cl", "Cl", "Au"],
  "fractional_positions": [[0.500, 0.500, 0.500], [0.500, 0.500, 0.000], [0.000, 0.000, 0.000], [0.000, 0.000, 0.500]],
  "sg": "P2/m",
  "dos_ef_per_ev_atom": 0.527,
  "formation_energy_uncorrected_ev_per_atom": -0.649,
  "de_polymorph_mev_per_atom": 675,
  "dft_energy_ev_per_atom": -3.97
}